Entry from the Alexandria database: a relaxed structure of LiTmGeIr (PBE).

Values from the calculation:
Magnetic moment in μB/cell: 0.00
DFT formation energy in eV per atom: -0.622
V in Å³/atom: 16.73

Geometry as extended XYZ:
```
4
Lattice="0.000 3.222 3.222 3.222 0.000 3.222 3.222 3.222 0.000" Properties=species:S:1:pos:R:3 pbc="T T T"
Li 0.000 0.000 0.000
Tm 1.611 1.611 1.611
Ge 4.834 4.834 4.834
Ir 3.222 3.222 3.222
```

***

Entry from the Alexandria database: a relaxed structure of LiUGeIr (PBE).

Values from the calculation:
Magnetic moment in μB/cell: 2.00
DFT formation energy in eV per atom: -0.282
V in Å³/atom: 17.33

Geometry as extended XYZ:
```
4
Lattice="0.000 3.260 3.260 3.260 0.000 3.260 3.260 3.260 0.000" Properties=species:S:1:pos:R:3 pbc="T T T"
Li 0.000 0.000 0.000
U 1.630 1.630 1.630
Ge 4.890 4.890 4.890
Ir 3.260 3.260 3.260
```

***

Entry from the Alexandria database: a relaxed structure of LiVGeIr2 (PBE).

Values from the calculation:
Magnetic moment in μB/cell: 2.20
DFT formation energy in eV per atom: 0.627
V in Å³/atom: 14.33

Geometry as extended XYZ:
```
5
Lattice="4.187 0.000 0.000 0.000 4.187 0.000 0.000 0.000 4.088" Properties=species:S:1:pos:R:3 pbc="T T T"
Li 0.000 0.000 0.000
V 2.093 2.093 2.044
Ge 0.000 0.000 2.044
Ir 0.000 2.093 0.000
Ir 2.093 0.000 0.000
```

***

Entry from the Alexandria database: a relaxed structure of LiY2Ge3Ir4 (PBE).

Values from the calculation:
Magnetic moment in μB/cell: 0.00
DFT formation energy in eV per atom: -0.721
V in Å³/atom: 17.81

Geometry as extended XYZ:
```
10
Lattice="4.115 0.000 0.000 0.000 4.115 0.000 0.000 0.000 10.518" Properties=species:S:1:pos:R:3 pbc="T T T"
Li 0.000 0.000 0.000
Y 0.000 2.057 7.890
Y 2.057 0.000 2.628
Ge 0.000 2.057 3.877
Ge 2.057 0.000 6.641
Ge 2.057 2.057 0.000
Ir 0.000 0.000 5.259
Ir 0.000 2.057 1.453
Ir 2.057 0.000 9.065
Ir 2.057 2.057 5.259
```

***

Entry from the Alexandria database: a relaxed structure of LiYGeIr (PBE).

Values from the calculation:
Magnetic moment in μB/cell: 0.00
DFT formation energy in eV per atom: -0.577
V in Å³/atom: 17.25

Geometry as extended XYZ:
```
4
Lattice="0.000 3.255 3.255 3.255 0.000 3.255 3.255 3.255 0.000" Properties=species:S:1:pos:R:3 pbc="T T T"
Li 0.000 0.000 0.000
Y 4.883 4.883 4.883
Ge 1.628 1.628 1.628
Ir 3.255 3.255 3.255
```

***

Entry from the Alexandria database: a relaxed structure of Lu3Ge13Ir4 (PBE).

Values from the calculation:
Magnetic moment in μB/cell: 0.00
DFT formation energy in eV per atom: -0.482
V in Å³/atom: 18.17

Geometry as extended XYZ:
```
40
Lattice="8.991 0.000 0.000 0.000 8.991 0.000 0.000 0.000 8.991" Properties=species:S:1:pos:R:3 pbc="T T T"
Lu 0.000 2.248 4.496
Lu 0.000 6.743 4.496
Lu 2.248 4.496 0.000
Lu 4.496 0.000 2.248
Lu 4.496 0.000 6.743
Lu 6.743 4.496 0.000
Ge 0.000 0.000 0.000
Ge 0.000 2.787 1.298
Ge 0.000 2.787 7.693
Ge 0.000 6.204 1.298
Ge 0.000 6.204 7.693
Ge 1.298 0.000 2.787
Ge 1.298 0.000 6.204
Ge 1.708 4.496 3.198
Ge 1.708 4.496 5.794
Ge 2.787 1.298 0.000
Ge 2.787 7.693 0.000
Ge 3.198 1.708 4.496
Ge 3.198 7.283 4.496
Ge 4.496 3.198 1.708
Ge 4.496 3.198 7.283
Ge 4.496 4.496 4.496
Ge 4.496 5.794 1.708
Ge 4.496 5.794 7.283
Ge 5.794 1.708 4.496
Ge 5.794 7.283 4.496
Ge 6.204 1.298 0.000
Ge 6.204 7.693 0.000
Ge 7.283 4.496 3.198
Ge 7.283 4.496 5.794
Ge 7.693 0.000 2.787
Ge 7.693 0.000 6.204
Ir 2.248 2.248 2.248
Ir 2.248 2.248 6.743
Ir 2.248 6.743 2.248
Ir 2.248 6.743 6.743
Ir 6.743 2.248 2.248
Ir 6.743 2.248 6.743
Ir 6.743 6.743 2.248
Ir 6.743 6.743 6.743
```